No. 1
Compound: CaNbCl6
Source: Alexandria
Functional: PBE-GGA
Structure: optimized geometry

Results
D(E_F) in states/eV per atom: 0.411
Polymorph energy (0 for the lowest one) in meV/atom: 0.0
Symmetry: C2/m
ΔE_f (raw) in eV per formula unit: -12.928
VASP energy in eV per atom: -4.510

Cell lengths 7.037, 7.037, 6.762 Å; angles 101.57, 101.57, 106.28 degrees
Site moments in Bohr magnetons follow the coordinates.
Atoms (fractional coordinates):
Cl 0.276 0.972 0.264  0.01
Cl 0.724 0.028 0.736  0.01
Cl 0.248 0.248 0.892  0.01
Cl 0.752 0.752 0.108  0.01
Cl 0.028 0.724 0.736  0.01
Cl 0.972 0.276 0.264  0.01
Nb 0.000 0.000 0.000  0.79
Ca 0.000 0.000 0.500  0.01

No. 2
Compound: KRb3Cr2Br9
Source: Alexandria
Functional: PBE-GGA
Structure: optimized geometry

Results
D(E_F) in states/eV per atom: 0.356
Symmetry: P-3m1
ΔE_f (raw) in eV per formula unit: -18.584
VASP energy in eV per atom: -3.792

Cell lengths 7.585, 7.585, 10.514 Å; angles 90.00, 90.00, 120.00 degrees
Site moments in Bohr magnetons follow the coordinates.
Atoms (fractional coordinates):
Br 0.173 0.827 0.284  -0.02
Br 0.000 0.500 0.000  -0.03
Br 0.653 0.827 0.284  -0.02
Br 0.173 0.347 0.284  -0.02
Br 0.500 0.500 0.000  -0.03
Br 0.827 0.173 0.716  -0.02
Br 0.347 0.173 0.716  -0.02
Br 0.500 0.000 0.000  -0.03
Br 0.827 0.653 0.716  -0.02
Rb 0.667 0.333 0.272  0.00
Rb 0.333 0.667 0.728  0.00
Rb 0.000 0.000 0.000  0.00
Cr 0.333 0.667 0.153  3.31
Cr 0.667 0.333 0.847  3.31
K 0.000 0.000 0.500  0.00

No. 3
Compound: BaTl2Cu2
Source: Alexandria
Functional: PBE-GGA
Structure: optimized geometry

Results
D(E_F) in states/eV per atom: 0.691
Polymorph energy (0 for the lowest one) in meV/atom: 176.8
Symmetry: P4/mbm
Energy of formation in kJ/mol of formula units: 60
VASP energy in eV per atom: -2.845

Cell lengths 8.019, 8.019, 4.099 Å; angles 90.00, 90.00, 90.00 degrees
Atoms (fractional coordinates):
Cu 0.891 0.609 0.000
Cu 0.109 0.391 0.000
Cu 0.609 0.109 0.000
Cu 0.391 0.891 0.000
Ba 0.500 0.500 0.000
Ba 0.000 0.000 0.000
Tl 0.840 0.340 0.500
Tl 0.340 0.160 0.500
Tl 0.160 0.660 0.500
Tl 0.660 0.840 0.500

No. 4
Compound: KErSn2Cl8
Source: Alexandria
Functional: PBE-GGA
Structure: optimized geometry

Results
D(E_F) in states/eV per atom: 0.000
Symmetry: P-1
ΔE_f (raw) in eV per formula unit: -19.055
VASP energy in eV per atom: -3.958

Cell lengths 6.851, 6.471, 8.857 Å; angles 90.75, 92.36, 88.04 degrees
Atoms (fractional coordinates):
K 0.000 0.000 0.500
Er 0.000 0.000 0.000
Cl 0.641 0.717 0.531
Cl 0.308 0.237 0.036
Cl 0.819 0.210 0.211
Cl 0.181 0.790 0.789
Cl 0.692 0.763 0.964
Cl 0.137 0.751 0.216
Cl 0.359 0.283 0.469
Cl 0.863 0.249 0.784
Sn 0.516 0.507 0.751
Sn 0.484 0.493 0.249

No. 5
Compound: Pm2ThZn3
Source: Alexandria
Functional: PBE-GGA
Structure: optimized geometry

Results
D(E_F) in states/eV per atom: 1.179
Polymorph energy (0 for the lowest one) in meV/atom: 0.0
Symmetry: P4/mmm
Energy of formation in kJ/mol of formula units: -154
VASP energy in eV per atom: -3.723

Cell lengths 3.658, 3.658, 10.997 Å; angles 90.00, 90.00, 90.00 degrees
Atoms (fractional coordinates):
Pm 0.500 0.500 0.166
Pm 0.500 0.500 0.834
Zn 0.000 0.000 0.000
Zn 0.000 0.000 0.330
Zn 0.000 0.000 0.670
Th 0.500 0.500 0.500

No. 6
Compound: GePS2
Source: Alexandria
Functional: PBE-GGA
Structure: optimized geometry

Results
D(E_F) in states/eV per atom: 0.295
Polymorph energy (0 for the lowest one) in meV/atom: 539.8
Symmetry: Fm-3m
ΔE_f (raw) in eV per formula unit: 2.122
VASP energy in eV per atom: -4.040

Cell lengths 4.547, 4.547, 4.547 Å; angles 60.00, 60.00, 60.00 degrees
Atoms (fractional coordinates):
S 0.250 0.250 0.250
S 0.750 0.750 0.750
P 0.000 0.000 0.000
Ge 0.500 0.500 0.500

No. 7
Compound: Nd3SmEr7
Source: Alexandria
Functional: PBE-GGA
Structure: optimized geometry

Results
D(E_F) in states/eV per atom: 1.406
Polymorph energy (0 for the lowest one) in meV/atom: 113.9
Symmetry: Immm
Energy of formation in kJ/mol of formula units: 282
VASP energy in eV per atom: -4.367

Cell lengths 5.820, 8.428, 8.428 Å; angles 83.34, 110.18, 110.18 degrees
Atoms (fractional coordinates):
Er 0.795 0.795 0.795
Er 0.000 0.500 0.500
Er 0.290 0.984 0.596
Er 0.710 0.404 0.016
Er 0.205 0.205 0.205
Er 0.290 0.596 0.984
Er 0.710 0.016 0.404
Sm 0.500 0.500 0.500
Nd 0.000 0.212 0.788
Nd 0.000 0.788 0.212
Nd 0.500 0.000 0.000

No. 8
Compound: LaPr3Th2
Source: Alexandria
Functional: PBE-GGA
Structure: optimized geometry

Results
D(E_F) in states/eV per atom: 2.317
Symmetry: R-3m
Energy of formation in kJ/mol of formula units: 245
VASP energy in eV per atom: -5.261

Cell lengths 7.709, 7.709, 7.709 Å; angles 101.79, 101.79, 101.79 degrees
Atoms (fractional coordinates):
Pr 0.833 0.335 0.833
Pr 0.167 0.167 0.665
Pr 0.335 0.833 0.833
Pr 0.167 0.665 0.167
Pr 0.665 0.167 0.167
Pr 0.833 0.833 0.335
Th 0.000 0.500 0.500
Th 0.500 0.000 0.500
Th 0.000 0.000 0.000
Th 0.500 0.500 0.000
La 0.334 0.334 0.334
La 0.666 0.666 0.666

> Look up the D(E_F) of the eighth one.

2.317 states/eV per atom

Please write out number 3 again, unchanged.
Compound: BaTl2Cu2
Source: Alexandria
Functional: PBE-GGA
Structure: optimized geometry

Results
D(E_F) in states/eV per atom: 0.691
Polymorph energy (0 for the lowest one) in meV/atom: 176.8
Symmetry: P4/mbm
Energy of formation in kJ/mol of formula units: 60
VASP energy in eV per atom: -2.845

Cell lengths 8.019, 8.019, 4.099 Å; angles 90.00, 90.00, 90.00 degrees
Atoms (fractional coordinates):
Cu 0.891 0.609 0.000
Cu 0.109 0.391 0.000
Cu 0.609 0.109 0.000
Cu 0.391 0.891 0.000
Ba 0.500 0.500 0.000
Ba 0.000 0.000 0.000
Tl 0.840 0.340 0.500
Tl 0.340 0.160 0.500
Tl 0.160 0.660 0.500
Tl 0.660 0.840 0.500

> What is the VASP energy in the second record?

-3.792 eV per atom

> Look up the D(E_F) of the first one.

0.411 states/eV per atom